P.
Compound: Al2BSb
Source: the Alexandria database
Functional: GGA-PBE
Structure: optimized geometry

a b c (Å): 6.549 6.549 6.549
angles (deg): 90.00 90.00 90.00
Space group Fm-3m (No. 225)
Symmetry-distinct sites (fractional):
Al1 0.250 0.250 0.250 [8 per cell]
B1 0.000 0.000 0.000 [4 per cell]
Sb1 0.000 0.000 0.500 [4 per cell]

Results
Fermi-level density of states (states/eV/atom): 0.685
Magnetic moment (μB per atom): 0.00

Q.
Compound: Al2BSb
Source: the Alexandria database
Functional: GGA-PBE
Structure: optimized geometry

a b c (Å): 5.074 5.074 12.656
angles (deg): 90.00 90.00 90.00
Space group I-42d (No. 122)
Symmetry-distinct sites (fractional):
Al1 0.139 0.250 0.125 [8 per cell]
B1 0.000 0.000 0.000 [4 per cell]
Sb1 0.000 0.000 0.500 [4 per cell]

Results
Fermi-level density of states (states/eV/atom): 0.405
Magnetic moment (μB per atom): 0.00

The least stable of them is P.